No. 1
CaPm3Nd2Se6 | PBE | optimized geometry

Results
crystal system = monoclinic
density = 6.50 Mg/m³
VASP energy = -5.7552 eV/atom

Unit cell a=4.1884 b=8.4615 c=9.4060 alpha=102.93 beta=102.86 gamma=90.00
Sites, in units of the cell vectors:
Se 0.3362 0.9210 0.6725
Se 0.6638 0.0790 0.3275
Se 0.0003 0.7541 0.0006
Se 0.6639 0.5842 0.3279
Se 0.3361 0.4158 0.6721
Se 0.9997 0.2459 0.9994
Pm 0.5000 0.5000 0.0000
Pm 0.1691 0.8300 0.3383
Pm 0.8309 0.1700 0.6617
Nd 0.1701 0.3391 0.3402
Nd 0.8299 0.6609 0.6598
Ca 0.5000 0.0000 0.0000

No. 2
Ca3PmNd2Se6 | PBE | optimized geometry

Results
crystal system = monoclinic
density = 5.39 Mg/m³
VASP energy = -5.3392 eV/atom

Unit cell a=7.2374 b=7.2374 c=7.3841 alpha=99.43 beta=99.43 gamma=119.96
Sites, in units of the cell vectors:
Ca 0.5000 0.5000 0.5000
Ca 0.1671 0.8329 0.5000
Ca 0.8329 0.1671 0.5000
Se 0.9149 0.5831 0.7442
Se 0.2462 0.2462 0.7439
Se 0.0851 0.4169 0.2558
Se 0.7538 0.7538 0.2561
Se 0.5831 0.9149 0.7442
Se 0.4169 0.0851 0.2558
Nd 0.6664 0.3336 0.0000
Nd 0.3336 0.6664 0.0000
Pm 0.0000 0.0000 0.0000

No. 3
CaPm2Nd3Se6 | PBE | optimized geometry

Results
crystal system = monoclinic
density = 6.48 Mg/m³
VASP energy = -5.7520 eV/atom

Unit cell a=7.2911 b=7.2911 c=7.3069 alpha=99.52 beta=99.52 gamma=120.09
Sites, in units of the cell vectors:
Nd 0.8324 0.1676 0.5000
Nd 0.1676 0.8324 0.5000
Nd 0.5000 0.5000 0.5000
Se 0.0816 0.4102 0.2450
Se 0.7528 0.7528 0.2437
Se 0.4102 0.0816 0.2450
Se 0.2472 0.2472 0.7563
Se 0.9184 0.5898 0.7550
Se 0.5898 0.9184 0.7550
Ca 0.0000 0.0000 0.0000
Pm 0.3330 0.6670 0.0000
Pm 0.6670 0.3330 0.0000

No. 4
CaPm2NdSe4 | PBE | optimized geometry

Results
crystal system = monoclinic
density = 6.24 Mg/m³
VASP energy = -5.6444 eV/atom

Unit cell a=4.1805 b=7.2900 c=7.3031 alpha=70.92 beta=90.00 gamma=90.00
Sites, in units of the cell vectors:
Se 0.0000 0.2527 0.2454
Se 0.5000 0.7492 0.2454
Se 0.0000 0.7473 0.7546
Se 0.5000 0.2508 0.7546
Ca 0.5000 0.5000 0.0000
Nd 0.0000 0.5000 0.5000
Pm 0.0000 0.0000 0.0000
Pm 0.5000 0.0000 0.5000

No. 5
CaPmNd4Se8 | PBE | optimized geometry

Results
crystal system = trigonal
density = 4.98 Mg/m³
VASP energy = -5.6351 eV/atom

Unit cell a=8.7028 b=8.7028 c=8.6900 alpha=59.95 beta=59.95 gamma=60.00
Sites, in units of the cell vectors:
Se 0.2421 0.2421 0.2737
Se 0.7594 0.2247 0.2564
Se 0.2409 0.2409 0.7437
Se 0.7580 0.7580 0.7259
Se 0.2247 0.7594 0.2564
Se 0.2409 0.7744 0.7437
Se 0.7744 0.2409 0.7437
Se 0.7594 0.7594 0.2564
Nd 0.4938 0.0021 0.5020
Nd 0.0021 0.4938 0.5020
Nd 0.0021 0.0021 0.5020
Nd 0.6247 0.6247 0.1258
Ca 0.3752 0.3752 0.8745
Pm 0.0022 0.0022 0.9935

No. 6
Ca2PmNdSe4 | PBE | optimized geometry

Results
crystal system = monoclinic
density = 5.40 Mg/m³
VASP energy = -5.3379 eV/atom

Unit cell a=4.1759 b=7.2262 c=7.3857 alpha=109.07 beta=90.00 gamma=90.00
Sites, in units of the cell vectors:
Ca 0.0000 0.5000 0.5000
Ca 0.5000 0.0000 0.5000
Se 0.5000 0.7495 0.7450
Se 0.5000 0.2505 0.2550
Se 0.0000 0.2464 0.7439
Se 0.0000 0.7536 0.2561
Nd 0.5000 0.5000 0.0000
Pm 0.0000 0.0000 0.0000

What did the fifth record say?
CaPmNd4Se8 | PBE | optimized geometry

Results
crystal system = trigonal
density = 4.98 Mg/m³
VASP energy = -5.6351 eV/atom

Unit cell a=8.7028 b=8.7028 c=8.6900 alpha=59.95 beta=59.95 gamma=60.00
Sites, in units of the cell vectors:
Se 0.2421 0.2421 0.2737
Se 0.7594 0.2247 0.2564
Se 0.2409 0.2409 0.7437
Se 0.7580 0.7580 0.7259
Se 0.2247 0.7594 0.2564
Se 0.2409 0.7744 0.7437
Se 0.7744 0.2409 0.7437
Se 0.7594 0.7594 0.2564
Nd 0.4938 0.0021 0.5020
Nd 0.0021 0.4938 0.5020
Nd 0.0021 0.0021 0.5020
Nd 0.6247 0.6247 0.1258
Ca 0.3752 0.3752 0.8745
Pm 0.0022 0.0022 0.9935

Among the records above, which one has the lowest density? CaPmNd4Se8

Which value of density does entry 1 give? 6.50 Mg/m³